A) Compound: BaZrIr2
Source: Alexandria
Functional: GGA-PBE
Structure: optimized geometry

extended XYZ file:
```
4
Lattice="-4.692 -0.739 -0.967 -2.638 -2.891 2.860 -3.399 1.896 2.890" Properties=species:S:1:pos:R:3 pbc="T T T"
Ba -5.364 -0.867 2.391
Ir 0.000 0.000 0.000
Ir -2.682 -0.434 1.196
Zr -8.047 -1.301 3.587
```

Results
- Magnetic moment: 0.00 Bohr magnetons per cell
- Density: 12.6 Mg/m³
- Crystal system: cubic
- Space group: F-43m
- DOS at the Fermi energy: 4.301 states/eV/cell

B) Compound: BaZrIr2
Source: Alexandria
Functional: GGA-PBE
Structure: optimized geometry

extended XYZ file:
```
4
Lattice="0.000 3.511 3.511 3.511 0.000 3.511 3.511 3.511 0.000" Properties=species:S:1:pos:R:3 pbc="T T T"
Ir 1.756 1.756 1.756
Ir 5.267 5.267 5.267
Ba 3.511 3.511 3.511
Zr 0.000 0.000 0.000
```

Results
- Magnetic moment: 0.00 Bohr magnetons per cell
- Density: 11.8 Mg/m³
- Crystal system: cubic
- Space group: Fm-3m
- DOS at the Fermi energy: 1.435 states/eV/cell

Stability check: which of them is most stable? B).

A) Compound: BaZrIr2
Source: Alexandria
Functional: GGA-PBE
Structure: optimized geometry

extended XYZ file:
```
4
Lattice="3.132 0.000 0.000 0.000 3.969 0.000 0.000 0.000 7.788" Properties=species:S:1:pos:R:3 pbc="T T T"
Ba 1.566 1.984 6.234
Ir 0.000 0.000 0.478
Ir 1.566 1.984 1.946
Zr 0.000 0.000 3.024
```

Results
- Magnetic moment: 0.21 Bohr magnetons per cell
- Density: 10.5 Mg/m³
- Crystal system: orthorhombic
- Space group: Pmm2
- DOS at the Fermi energy: 4.443 states/eV/cell

B) Compound: BaZrIr2
Source: Alexandria
Functional: GGA-PBE
Structure: optimized geometry

extended XYZ file:
```
4
Lattice="-3.724 2.402 2.928 -3.943 -0.757 3.477 3.087 0.710 5.317" Properties=species:S:1:pos:R:3 pbc="T T T"
Ba -1.381 0.589 2.836
Ir 2.563 0.730 5.221
Ir -3.495 1.714 8.470
Zr -1.470 1.210 6.374
```

Results
- Magnetic moment: 0.00 Bohr magnetons per cell
- Density: 10.3 Mg/m³
- Crystal system: monoclinic
- Space group: Cm
- DOS at the Fermi energy: 2.319 states/eV/cell

Stability check: which of them is most stable? B).

A) Compound: BaZr2Ir
Source: Alexandria
Functional: GGA-PBE
Structure: optimized geometry

extended XYZ file:
```
4
Lattice="4.338 -0.012 0.008 2.179 3.751 0.008 2.159 1.239 7.356" Properties=species:S:1:pos:R:3 pbc="T T T"
Ba 4.338 2.489 3.594
Ir 2.172 1.247 0.059
Zr 6.516 3.739 1.033
Zr 6.506 3.733 6.388
```

Results
- Magnetic moment: 0.00 Bohr magnetons per cell
- Density: 7.1 Mg/m³
- Crystal system: trigonal
- Space group: R3m
- DOS at the Fermi energy: 3.783 states/eV/cell

B) Compound: BaZr2Ir
Source: Alexandria
Functional: GGA-PBE
Structure: optimized geometry

extended XYZ file:
```
4
Lattice="-6.086 -1.848 1.243 -1.085 -6.164 1.681 2.680 5.781 1.182" Properties=species:S:1:pos:R:3 pbc="T T T"
Ba -3.495 -0.037 1.943
Ir -0.995 -2.195 2.162
Zr -0.408 -0.456 0.166
Zr -3.178 -3.551 1.296
```

Results
- Magnetic moment: 0.00 Bohr magnetons per cell
- Density: 8.1 Mg/m³
- Crystal system: orthorhombic
- Space group: Immm
- DOS at the Fermi energy: 4.883 states/eV/cell

C) Compound: BaZr2Ir
Source: Alexandria
Functional: GGA-PBE
Structure: optimized geometry

extended XYZ file:
```
4
Lattice="-2.106 -0.565 5.526 -5.325 -2.524 0.754 5.040 -1.182 -2.914" Properties=species:S:1:pos:R:3 pbc="T T T"
Ba -2.000 -2.626 0.490
Ir -0.391 -1.646 2.876
Zr 0.000 0.000 0.000
Zr -3.715 -1.545 3.140
```

Results
- Magnetic moment: 0.00 Bohr magnetons per cell
- Density: 9.0 Mg/m³
- Crystal system: tetragonal
- Space group: I4/mmm
- DOS at the Fermi energy: 4.464 states/eV/cell

Stability check: which of them is most stable? A).

A) Compound: BaZr2Ir
Source: Alexandria
Functional: GGA-PBE
Structure: optimized geometry

extended XYZ file:
```
4
Lattice="-3.251 3.349 -2.074 -0.875 -3.236 -3.853 -2.527 -1.380 1.733" Properties=species:S:1:pos:R:3 pbc="T T T"
Ba -2.889 0.984 -0.170
Ir -1.701 -2.308 -1.060
Zr 0.000 0.000 0.000
Zr -2.063 0.056 -2.963
```

Results
- Magnetic moment: 0.00 Bohr magnetons per cell
- Density: 9.7 Mg/m³
- Crystal system: tetragonal
- Space group: P4/mmm
- DOS at the Fermi energy: 2.281 states/eV/cell

B) Compound: BaZr2Ir
Source: Alexandria
Functional: GGA-PBE
Structure: optimized geometry

extended XYZ file:
```
4
Lattice="5.045 0.000 0.000 0.000 4.356 0.000 0.000 0.000 4.356" Properties=species:S:1:pos:R:3 pbc="T T T"
Ba 2.523 2.178 0.000
Ir 2.523 0.000 2.178
Zr 0.000 0.000 0.000
Zr 0.000 2.178 2.178
```

Results
- Magnetic moment: 0.00 Bohr magnetons per cell
- Density: 8.9 Mg/m³
- Crystal system: tetragonal
- Space group: P4/mmm
- DOS at the Fermi energy: 4.506 states/eV/cell

Stability check: which of them is most stable? A).

A) Compound: Ba2ZrIr
Source: Alexandria
Functional: GGA-PBE
Structure: optimized geometry

extended XYZ file:
```
4
Lattice="-1.790 -1.202 -3.788 7.675 -2.382 -2.871 5.588 -6.418 -0.604" Properties=species:S:1:pos:R:3 pbc="T T T"
Ba 1.533 -1.017 -0.402
Ba 5.098 -3.383 -1.336
Ir 2.420 -2.801 -2.763
Zr 9.051 -7.201 -4.500
```

Results
- Magnetic moment: 0.00 Bohr magnetons per cell
- Density: 5.1 Mg/m³
- Crystal system: orthorhombic
- Space group: Cmmm
- DOS at the Fermi energy: 4.388 states/eV/cell

B) Compound: Ba2ZrIr
Source: Alexandria
Functional: GGA-PBE
Structure: optimized geometry

extended XYZ file:
```
4
Lattice="0.000 3.917 3.917 3.917 0.000 3.917 3.917 3.917 0.000" Properties=species:S:1:pos:R:3 pbc="T T T"
Ir 3.917 3.917 3.917
Ba 1.958 1.958 1.958
Ba 5.875 5.875 5.875
Zr 0.000 0.000 0.000
```

Results
- Magnetic moment: 2.67 Bohr magnetons per cell
- Density: 7.7 Mg/m³
- Crystal system: cubic
- Space group: Fm-3m
- DOS at the Fermi energy: 6.920 states/eV/cell

C) Compound: Ba2ZrIr
Source: Alexandria
Functional: GGA-PBE
Structure: optimized geometry

extended XYZ file:
```
4
Lattice="3.644 0.000 0.000 0.000 3.644 0.000 0.000 0.000 10.173" Properties=species:S:1:pos:R:3 pbc="T T T"
Ba 0.000 0.000 9.615
Ba 1.822 1.822 3.344
Ir 0.000 0.000 5.752
Zr 1.822 1.822 6.722
```

Results
- Magnetic moment: 0.00 Bohr magnetons per cell
- Density: 6.9 Mg/m³
- Crystal system: tetragonal
- Space group: P4mm
- DOS at the Fermi energy: 3.864 states/eV/cell

D) Compound: Ba2ZrIr
Source: Alexandria
Functional: GGA-PBE
Structure: optimized geometry

extended XYZ file:
```
4
Lattice="-2.850 -1.651 -1.837 2.518 -1.376 -2.670 2.464 -8.804 4.093" Properties=species:S:1:pos:R:3 pbc="T T T"
Ba 2.547 -8.291 3.502
Ba 0.369 -4.253 -0.621
Ir 2.146 -5.687 1.784
Zr 2.025 -7.495 -0.274
```

Results
- Magnetic moment: 0.01 Bohr magnetons per cell
- Density: 6.4 Mg/m³
- Crystal system: monoclinic
- Space group: Pm
- DOS at the Fermi energy: 5.323 states/eV/cell

Stability check: which of them is most stable? D).

A) Compound: BaZrIr
Source: Alexandria
Functional: GGA-PBE
Structure: optimized geometry

extended XYZ file:
```
3
Lattice="7.073 -0.005 0.005 6.182 3.435 0.009 0.891 0.225 3.432" Properties=species:S:1:pos:R:3 pbc="T T T"
Ba 13.061 3.380 0.068
Ir 4.554 1.175 2.420
Zr 9.784 2.530 0.974
```

Results
- Magnetic moment: 0.00 Bohr magnetons per cell
- Density: 8.4 Mg/m³
- Crystal system: tetragonal
- Space group: I4mm
- DOS at the Fermi energy: 2.866 states/eV/cell

B) Compound: BaZrIr
Source: Alexandria
Functional: GGA-PBE
Structure: optimized geometry

extended XYZ file:
```
3
Lattice="4.910 0.000 0.000 2.455 4.253 0.000 2.455 1.418 4.009" Properties=species:S:1:pos:R:3 pbc="T T T"
Ba 4.910 2.835 2.005
Ir 7.366 4.253 3.007
Zr 0.000 0.000 0.000
```

Results
- Magnetic moment: 0.00 Bohr magnetons per cell
- Density: 8.3 Mg/m³
- Crystal system: cubic
- Space group: F-43m
- DOS at the Fermi energy: 2.209 states/eV/cell

C) Compound: BaZrIr
Source: Alexandria
Functional: GGA-PBE
Structure: optimized geometry

extended XYZ file:
```
6
Lattice="-4.663 -0.452 -0.407 0.597 -3.989 -2.418 -0.189 -4.099 6.715" Properties=species:S:1:pos:R:3 pbc="T T T"
Ba 0.137 -5.506 4.545
Ba -2.358 -0.813 0.758
Ir 0.236 -3.347 1.008
Ir -2.458 -2.972 4.295
Zr -2.127 -4.270 1.945
Zr -0.094 -2.049 3.358
```

Results
- Magnetic moment: 0.00 Bohr magnetons per cell
- Density: 8.0 Mg/m³
- Crystal system: tetragonal
- Space group: P4/nmm
- DOS at the Fermi energy: 5.606 states/eV/cell

Stability check: which of them is most stable? C).